Entry 1:
The following is a DFT calculation (PBE) of Nd2CuPtO5 after structural relaxation.

Results
The uncorrected formation energy comes out at -1.761 eV/atom. The spin magnetization comes out at 1.0 μB per formula unit.

CIF file:
```
data_Nd2CuPtO5
_cell_length_a 6.846
_cell_length_b 6.846
_cell_length_c 5.740
_cell_angle_alpha 90.00
_cell_angle_beta 90.00
_cell_angle_gamma 90.00
_space_group_name_H-M_alt 'P 4/m b m'
_space_group_IT_number 127
_space_group_name_Hall '-P 4 2ab'
loop_
_atom_site_label
_atom_site_fract_x
_atom_site_fract_y
_atom_site_fract_z
Nd1 0.176 0.324 0.000
Cu1 0.000 0.000 0.500
Pt1 0.000 0.500 0.500
O1 0.000 0.000 0.000
O2 0.136 0.636 0.246
```

Entry 2:
The following is a DFT calculation (PBE) of NdCuPtO4 after structural relaxation.

Results
The uncorrected formation energy comes out at -1.407 eV/atom. The spin magnetization comes out at 0.0 μB per formula unit.

CIF file:
```
data_NdCuPtO4
_cell_length_a 6.432
_cell_length_b 7.741
_cell_length_c 8.872
_cell_angle_alpha 90.00
_cell_angle_beta 90.00
_cell_angle_gamma 90.00
_space_group_name_H-M_alt 'I m m a'
_space_group_IT_number 74
_space_group_name_Hall '-I 2b 2'
loop_
_atom_site_label
_atom_site_fract_x
_atom_site_fract_y
_atom_site_fract_z
Nd1 0.000 0.000 0.000
Cu1 0.000 0.250 0.467
Pt1 0.250 0.250 0.750
O1 0.000 0.080 0.739
O2 0.221 0.250 0.989
```

Entry 3:
The following is a DFT calculation (PBE) of NdPu2CuO8 after structural relaxation.

Results
The uncorrected formation energy comes out at -2.416 eV/atom. The spin magnetization comes out at 4.0 μB per formula unit.

CIF file:
```
data_NdPu2CuO8
_cell_length_a 5.003
_cell_length_b 6.911
_cell_length_c 5.007
_cell_angle_alpha 90.00
_cell_angle_beta 93.38
_cell_angle_gamma 90.00
_space_group_name_H-M_alt 'P 1 2/m 1'
_space_group_IT_number 10
loop_
_space_group_symop_operation_xyz
'x,y,z'
'-x,-y,-z'
'-x,y,-z'
'x,-y,z'
loop_
_atom_site_label
_atom_site_fract_x
_atom_site_fract_y
_atom_site_fract_z
Nd1 0.000 0.000 0.000
Pu1 0.500 0.260 0.500
Cu1 0.000 0.500 0.000
O1 0.210 0.271 0.212
O2 0.319 0.500 0.682
O3 0.324 0.000 0.679
```

Entry 4:
The following is a DFT calculation (PBE) of NdPuCu2O8 after structural relaxation.

Results
The uncorrected formation energy comes out at -1.507 eV/atom. The spin magnetization comes out at 1.2 μB per formula unit.

CIF file:
```
data_NdPuCu2O8
_cell_length_a 6.872
_cell_length_b 6.872
_cell_length_c 6.860
_cell_angle_alpha 90.00
_cell_angle_beta 90.00
_cell_angle_gamma 90.00
_space_group_name_H-M_alt 'I -4 m 2'
_space_group_IT_number 119
_space_group_name_Hall 'I -4 -2'
loop_
_atom_site_label
_atom_site_fract_x
_atom_site_fract_y
_atom_site_fract_z
Nd1 0.000 0.000 0.000
Pu1 0.000 0.500 0.250
Cu1 0.000 0.000 0.500
Cu2 0.000 0.500 0.750
O1 0.000 0.210 0.304
O2 0.000 0.333 0.955
```

Entry 5:
The following is a DFT calculation (PBE) of RbNd2CuO4 after structural relaxation.

Results
The uncorrected formation energy comes out at -2.335 eV/atom. The spin magnetization comes out at 0.0 μB per formula unit.

CIF file:
```
data_RbNd2CuO4
_cell_length_a 3.623
_cell_length_b 12.273
_cell_length_c 12.163
_cell_angle_alpha 90.00
_cell_angle_beta 90.00
_cell_angle_gamma 90.00
_space_group_name_H-M_alt 'C m c m'
_space_group_IT_number 63
_space_group_name_Hall '-C 2c 2'
loop_
_atom_site_label
_atom_site_fract_x
_atom_site_fract_y
_atom_site_fract_z
Rb1 0.000 0.099 0.250
Nd1 0.000 0.367 0.060
Cu1 0.000 0.177 0.750
O1 0.000 0.000 0.000
O2 0.000 0.252 0.600
O3 0.000 0.415 0.250
```

Entry 6:
The following is a DFT calculation (PBE) of Nd2CuRhO6 after structural relaxation.

Results
The uncorrected formation energy comes out at -2.024 eV/atom. The spin magnetization comes out at 2.0 μB per formula unit.

CIF file:
```
data_Nd2CuRhO6
_cell_length_a 5.462
_cell_length_b 5.882
_cell_length_c 9.435
_cell_angle_alpha 90.00
_cell_angle_beta 125.32
_cell_angle_gamma 90.00
_space_group_name_H-M_alt 'P 1 21/c 1'
_space_group_IT_number 14
loop_
_space_group_symop_operation_xyz
'x,y,z'
'-x,-y,-z'
'-x,y+1/2,-z+1/2'
'x,-y+1/2,z+1/2'
loop_
_atom_site_label
_atom_site_fract_x
_atom_site_fract_y
_atom_site_fract_z
Nd1 0.229 0.076 0.250
Cu1 0.000 0.000 0.500
Rh1 0.500 0.000 0.000
O1 0.143 0.191 0.949
O2 0.263 0.703 0.947
O3 0.352 0.031 0.747
```

Entry 7:
The following is a DFT calculation (PBE) of Nd2CuRh3O8 after structural relaxation.

Results
The uncorrected formation energy comes out at -1.532 eV/atom. The spin magnetization comes out at 0.0 μB per formula unit.

CIF file:
```
data_Nd2CuRh3O8
_cell_length_a 6.4731
_cell_length_b 6.4731
_cell_length_c 16.3402
_cell_angle_alpha 90.00
_cell_angle_beta 90.00
_cell_angle_gamma 120.00
_space_group_name_H-M_alt 'R 3 m'
_space_group_IT_number 160
_space_group_name_Hall 'R 3 -2"'
loop_
_atom_site_label
_atom_site_fract_x
_atom_site_fract_y
_atom_site_fract_z
Nd1 0.0000 0.0000 0.0000
Nd2 0.0000 0.0000 0.4840
Cu1 0.0000 0.0000 0.8151
Rh1 0.0077 0.5038 0.9701
O1 0.0000 0.0000 0.2446
O2 0.0000 0.0000 0.6978
O3 0.1676 0.3352 0.5701
O4 0.1925 0.3849 0.0414
```

Entry 8:
The following is a DFT calculation (PBE) of NdCuSO after structural relaxation.

Results
The uncorrected formation energy comes out at -1.964 eV/atom. The spin magnetization comes out at 0.0 μB per formula unit.

CIF file:
```
data_NdCuSO
_cell_length_a 3.944
_cell_length_b 3.944
_cell_length_c 8.463
_cell_angle_alpha 90.00
_cell_angle_beta 90.00
_cell_angle_gamma 90.00
_space_group_name_H-M_alt 'P 4/n m m'
_space_group_IT_number 129
loop_
_space_group_symop_operation_xyz
'x,y,z'
'-x,-y,-z'
'-y+1/2,x,z'
'y+1/2,-x,-z'
'-x+1/2,-y+1/2,z'
'x+1/2,y+1/2,-z'
'y,-x+1/2,z'
'-y,x+1/2,-z'
'x+1/2,-y,-z'
'-x+1/2,y,z'
'-y,-x,-z'
'y,x,z'
'-x,y+1/2,-z'
'x,-y+1/2,z'
'y+1/2,x+1/2,-z'
'-y+1/2,-x+1/2,z'
loop_
_atom_site_label
_atom_site_fract_x
_atom_site_fract_y
_atom_site_fract_z
Nd1 0.250 0.250 0.146
Cu1 0.250 0.750 0.500
S1 0.250 0.250 0.665
O1 0.250 0.750 0.000
```